Be4PtRh after structural relaxation, computed with PBE-GGA.

Computed properties:
formation energy = -489 meV per atom
space group = F-43m, No. 216
total DFT energy (no corrections) = -31.23 eV/cell

Cell and atoms, written as POSCAR:
```
Be4PtRh
1.0
-0.841 -3.662 2.280
-3.691 -0.317 2.366
-3.214 -2.704 -1.294
Be Pt Rh
4 1 1
Direct
0.876 0.375 0.375
0.375 0.375 0.876
0.375 0.876 0.375
0.375 0.375 0.375
0.750 0.750 0.750
0.000 0.000 0.000
```